No. 1
A plane-wave DFT calculation with PBE was carried out for a geometry-optimized PaSnPt structure.

Summary:
As for the energy: -6.575 eV/atom. The total magnetic moment comes out at 0.35 μB per formula unit. For the calculated volume, the calculation gives 27.24 A^3/atom.

Unit cell a=6.8884 b=6.8884 c=6.8884 alpha=90.00 beta=90.00 gamma=90.00
With the nearest neighbours (Å) after each atom.
Space group F-43m (No. 216)
Unique sites:
Pa: 0.0000 0.0000 0.0000 [4 per cell]  4 Sn 2.98, 4 Pt 2.98
Sn: 0.2500 0.2500 0.2500 [4 per cell]  4 Pa 2.98
Pt: 0.2500 0.2500 0.7500 [4 per cell]  4 Pa 2.98

=====

No. 2
A plane-wave DFT calculation with PBE was carried out for a geometry-optimized Li2Mg2Ga2FePd structure.

Summary:
As for the energy: -3.621 eV/atom. The total magnetic moment comes out at 2.12 μB per formula unit. For the calculated volume, the calculation gives 14.84 A^3/atom.

Unit cell a=4.3390 b=4.3390 c=6.3057 alpha=90.00 beta=90.00 gamma=90.00
With the nearest neighbours (Å) after each atom.
Space group P-4m2 (No. 115)
Unique sites:
Li: 0.0000 0.0000 0.0000 [1 per cell]  4 Mg 2.68, 4 Ga 2.75
Li: 0.5000 0.5000 0.5000 [1 per cell]  4 Ga 2.62, 4 Mg 2.69
Mg: 0.0000 0.5000 0.2485 [2 per cell]  4 Li 2.68-2.69, 2 Pd 2.68, 2 Fe 2.69
Ga: 0.0000 0.5000 0.7328 [2 per cell]  2 Fe 2.62, 4 Li 2.62-2.75, 2 Pd 2.75
Fe: 0.0000 0.0000 0.5000 [1 per cell]  4 Ga 2.62, 4 Mg 2.69
Pd: 0.5000 0.5000 0.0000 [1 per cell]  4 Mg 2.68, 4 Ga 2.75

=====

No. 3
A plane-wave DFT calculation with PBE was carried out for a geometry-optimized Zn2Ir structure.

Summary:
The formation energy is -0.0970 eV/atom. As for the energy: -3.892 eV/atom. The total magnetic moment comes out at 0.00 μB per formula unit. For the calculated volume, the calculation gives 14.15 A^3/atom.

Unit cell a=4.7378 b=4.7378 c=4.3663 alpha=90.00 beta=90.00 gamma=120.00
With the nearest neighbours (Å) after each atom.
Space group P-62m (No. 189)
Unique sites:
Zn: 0.0000 0.0000 0.0000 [1 per cell]  6 Zn 2.73, 6 Ir 2.74
Zn: 0.0000 0.3451 0.5000 [3 per cell]  4 Ir 2.68, 8 Zn 2.69-2.83
Ir: 0.3333 0.6667 0.0000 [2 per cell]  9 Zn 2.68-2.74, 3 Ir 2.74

=====

No. 4
A plane-wave DFT calculation with PBE was carried out for a geometry-optimized ErSeClO4 structure.

Summary:
As for the energy: -5.938 eV/atom. The total magnetic moment comes out at 0.00 μB per formula unit. For the calculated volume, the calculation gives 15.56 A^3/atom.

Unit cell a=9.8519 b=6.9798 c=6.5648 alpha=90.00 beta=105.21 gamma=90.00
With the nearest neighbours (Å) after each atom.
Space group C2/m (No. 12)
Unique sites:
Er: 0.2203 0.0000 0.1183 [4 per cell]  6 O 2.26-2.46
Se: 0.1364 0.5000 0.2722 [4 per cell]  4 O 1.63-1.69
Cl: 0.0152 0.0000 0.7609 [4 per cell]  2 Er 2.64-2.66, 1 O 2.93
O: 0.0345 0.5000 0.7711 [4 per cell]  1 Se 1.63
O: 0.1940 0.3196 0.1442 [8 per cell]  1 Se 1.69
O: 0.2189 0.5000 0.5222 [4 per cell]  1 Se 1.63

=====

No. 5
A plane-wave DFT calculation with PBE was carried out for a geometry-optimized TePOsO structure.

Summary:
As for the energy: -6.396 eV/atom. The value obtained for the polymorph energy (0 for the lowest one) is 0 meV per atom. The total magnetic moment comes out at 0.00 μB per formula unit. For the calculated volume, the calculation gives 22.19 A^3/atom.

Unit cell a=3.8635 b=6.3017 c=7.2901 alpha=90.00 beta=90.00 gamma=90.00
With the nearest neighbours (Å) after each atom.
Space group Pmc2_1 (No. 26)
Unique sites:
Te: 0.0000 0.2103 0.0000 [2 per cell]  1 P 2.56, 2 Os 2.79
P: 0.0000 0.2824 0.3453 [2 per cell]  2 Os 2.37, 1 Te 2.56
Os: 0.5000 0.4886 0.4055 [2 per cell]  2 O 1.88
O: 0.5000 0.4290 0.6582 [2 per cell]  2 Os 1.88

=====

No. 6
A plane-wave DFT calculation with PBE was carried out for a geometry-optimized RbCd structure.

Summary:
As for the energy: -0.812 eV/atom. For the calculated volume, the calculation gives 46.86 A^3/atom.

Unit cell a=4.3394 b=4.3394 c=5.7465 alpha=90.00 beta=90.00 gamma=120.00
With the nearest neighbours (Å) after each atom.
Space group P-6m2 (No. 187)
Unique sites:
Rb: 0.0000 0.0000 0.0000 [1 per cell]  6 Cd 3.81
Cd: 0.3333 0.6667 0.5000 [1 per cell]  6 Rb 3.81

=====

No. 7
A plane-wave DFT calculation with PBE was carried out for a geometry-optimized BaSnHg structure.

Summary:
As for the energy: -2.541 eV/atom. For the calculated volume, the calculation gives 32.62 A^3/atom.

Unit cell a=8.2785 b=8.2785 c=4.9468 alpha=90.00 beta=90.00 gamma=120.00
With the nearest neighbours (Å) after each atom.
Space group P-62m (No. 189)
Unique sites:
Ba: 0.0000 0.5904 0.0000 [3 per cell]  5 Hg 3.39-3.52
Sn: 0.0000 0.2407 0.5000 [3 per cell]  4 Hg 3.18-3.21, 2 Sn 3.45
Hg: 0.0000 0.0000 0.0000 [1 per cell]  6 Sn 3.18, 3 Ba 3.39
Hg: 0.3333 0.6667 0.5000 [2 per cell]  3 Sn 3.21, 6 Ba 3.52

=====

No. 8
A plane-wave DFT calculation with PBE was carried out for a geometry-optimized B4SbIr structure.

Summary:
As for the energy: -6.055 eV/atom. The value obtained for the polymorph energy (0 for the lowest one) is 0 meV per atom. The total magnetic moment comes out at 0.02 μB per formula unit. For the calculated volume, the calculation gives 11.23 A^3/atom.

Unit cell a=3.0403 b=3.0403 c=8.4168 alpha=90.00 beta=90.00 gamma=120.00
With the nearest neighbours (Å) after each atom.
Space group P6/mmm (No. 191)
Unique sites:
B: 0.3333 0.6667 0.1986 [4 per cell]  3 B 1.76
Sb: 0.0000 0.0000 0.5000 [1 per cell]  6 Sb 3.04, 12 B 3.08
Ir: 0.0000 0.0000 0.0000 [1 per cell]  12 B 2.42

=====

No. 9
A plane-wave DFT calculation with PBE was carried out for a geometry-optimized Sc2Ta4Pb3C3 structure.

Summary:
As for the energy: -8.616 eV/atom. The total magnetic moment comes out at 0.00 μB per formula unit. For the calculated volume, the calculation gives 17.10 A^3/atom.

Unit cell a=9.9648 b=5.7528 c=14.7063 alpha=90.00 beta=103.21 gamma=90.00
With the nearest neighbours (Å) after each atom.
Space group C2/c (No. 15)
Unique sites:
Sc: 0.0487 0.0787 0.4123 [8 per cell]  3 C 2.31-2.34
Ta: 0.1088 0.4070 0.5753 [8 per cell]  3 C 2.18-2.21
Ta: 0.2294 0.4217 0.9246 [8 per cell]  3 C 2.18-2.21
Pb: 0.0000 0.4286 0.2500 [4 per cell]  2 Sc 3.08, 4 Ta 3.14-3.15, 6 Pb 3.27-3.43
Pb: 0.1732 0.0874 0.7526 [8 per cell]  2 Sc 3.04-3.05, 4 Ta 3.11-3.13, 4 Pb 3.27
C: 0.0863 0.2581 0.0000 [8 per cell]  4 Ta 2.18-2.21, 2 Sc 2.31
C: 0.2500 0.2500 0.5000 [4 per cell]  4 Ta 2.18, 2 Sc 2.34

=====

No. 10
A plane-wave DFT calculation with PBE was carried out for a geometry-optimized NdGdAl4Pd2 structure.

Summary:
As for the energy: -5.103 eV/atom. The total magnetic moment comes out at 0.01 μB per formula unit. For the calculated volume, the calculation gives 19.91 A^3/atom.

Unit cell a=7.0143 b=4.2799 c=10.6117 alpha=90.00 beta=90.00 gamma=90.00
With the nearest neighbours (Å) after each atom.
Space group Amm2 (No. 38)
Unique sites:
Nd: 0.0000 0.0000 0.0000 [2 per cell]  3 Pd 2.97-3.17, 6 Al 3.16-3.33
Gd: 0.5000 0.0000 0.8678 [2 per cell]  3 Pd 2.97-3.17, 6 Al 3.14-3.30
Al: 0.1973 0.0000 0.2852 [4 per cell]  3 Pd 2.58-2.64, 1 Al 2.77
Al: 0.3063 0.0000 0.5841 [4 per cell]  3 Pd 2.59-2.62, 1 Al 2.72
Pd: 0.0000 0.0000 0.7198 [2 per cell]  6 Al 2.59-2.64
Pd: 0.5000 0.0000 0.1475 [2 per cell]  6 Al 2.58-2.62

=====

No. 11
A plane-wave DFT calculation with PBE was carried out for a geometry-optimized PrAgSb2 structure.

Summary:
As for the energy: -4.654 eV/atom. The total magnetic moment comes out at 0.01 μB per formula unit. For the calculated volume, the calculation gives 26.05 A^3/atom.

Unit cell a=4.4000 b=4.4000 c=10.7637 alpha=90.00 beta=90.00 gamma=90.00
With the nearest neighbours (Å) after each atom.
Space group P4/nmm (No. 129, origin choice 2)
Unique sites:
Pr: 0.2500 0.2500 0.2378 [2 per cell]  8 Sb 3.25-3.38, 4 Ag 3.58
Ag: 0.2500 0.7500 0.5000 [2 per cell]  4 Sb 2.90, 4 Ag 3.11
Sb: 0.2500 0.2500 0.6751 [2 per cell]  4 Ag 2.90
Sb: 0.2500 0.7500 0.0000 [2 per cell]  4 Sb 3.11, 4 Pr 3.38

=====

No. 12
A plane-wave DFT calculation with PBE was carried out for a geometry-optimized NaHfAu3O4 structure.

Summary:
As for the energy: -5.335 eV/atom. The total magnetic moment comes out at 0.00 μB per formula unit. For the calculated volume, the calculation gives 19.83 A^3/atom.

Unit cell a=5.6297 b=5.6297 c=5.6297 alpha=90.00 beta=90.00 gamma=90.00
With the nearest neighbours (Å) after each atom.
Space group P-43m (No. 215)
Unique sites:
Na: 0.0000 0.0000 0.0000 [1 per cell]  4 O 2.84
Hf: 0.5000 0.5000 0.5000 [1 per cell]  4 O 2.04
Au: 0.0000 0.5000 0.5000 [3 per cell]  4 O 2.34
O: 0.2910 0.2910 0.2910 [4 per cell]  1 Hf 2.04